# 1
Here is an optimized crystal structure of CaLa2Mg from Alexandria. Energies are from GGA-PBEsol.

Lattice parameters (Å, degrees): 3.622 6.297 6.444 112.42 106.32 90.00
Fractional coordinates of all 4 atoms:
La: 0.758 0.189 0.516
La: 0.011 0.068 0.022
Mg: 0.495 0.567 0.989
Ca: 0.237 0.675 0.473

Properties
- Energy of formation: 0.02 eV/atom
- Electronic total energy: -14.4 eV/cell



# 2
Here is an optimized crystal structure of K2LiAlH6 from Alexandria. Energies are from GGA-PBEsol.

Lattice parameters (Å, degrees): 4.726 4.726 5.373 90.00 90.00 102.18
Fractional coordinates of all 10 atoms:
H: 0.235 0.765 0.000
K: 0.255 0.745 0.500
H: 0.780 0.780 0.236
H: 0.220 0.220 0.764
Li: 0.500 0.500 0.000
K: 0.745 0.255 0.500
Al: 0.000 0.000 0.000
H: 0.220 0.220 0.236
H: 0.765 0.235 0.000
H: 0.780 0.780 0.764

Properties
- Electronic total energy: -30.1 eV/cell



# 3
Here is an optimized crystal structure of Ir2C from Alexandria. Energies are from GGA-PBEsol.

Lattice parameters (Å, degrees): 2.973 4.917 5.324 90.00 106.21 90.00
Fractional coordinates of all 6 atoms:
C: 0.070 0.250 0.139
Ir: 0.304 0.750 0.608
C: 0.930 0.750 0.861
Ir: 0.565 0.750 0.129
Ir: 0.696 0.250 0.392
Ir: 0.435 0.250 0.871

Properties
- Energy above the lowest structure with this stoichiometry: 0.000 eV per atom
- Energy of formation: 0.85 eV/atom
- Electronic total energy: -53.5 eV/cell



# 4
Here is an optimized crystal structure of LiMgRh2 from Alexandria. Energies are from GGA-PBEsol.

Lattice parameters (Å, degrees): 2.882 4.522 4.987 116.96 106.80 90.00
Fractional coordinates of all 4 atoms:
Li: 0.500 0.000 0.000
Rh: 0.758 0.758 0.516
Rh: 0.242 0.242 0.484
Mg: 0.000 0.500 0.000

Properties
- Energy of formation: -0.19 eV/atom
- Electronic total energy: -20.7 eV/cell



# 5
Here is an optimized crystal structure of SrPS2Br from Alexandria. Energies are from GGA-PBEsol.

Lattice parameters (Å, degrees): 5.562 5.562 5.992 90.00 90.00 90.00
Fractional coordinates of all 5 atoms:
S: 0.000 0.500 0.000
P: 0.000 0.000 0.500
Br: 0.500 0.500 0.500
S: 0.500 0.000 0.000
Sr: 0.000 0.000 0.000

Properties
- Formation energy from raw total energies: 0.82 eV per atom
- Electronic total energy: -14.2 eV/cell



# 6
Here is an optimized crystal structure of LaY from Alexandria. Energies are from GGA-PBEsol.

Lattice parameters (Å, degrees): 4.483 4.483 4.483 60.00 60.00 60.00
Fractional coordinates of all 2 atoms:
La: 0.000 0.000 0.000
Y: 0.750 0.750 0.750

Properties
- Energy above the lowest structure with this stoichiometry: 1.563 eV per atom
- Energy of formation: 1.56 eV/atom
- Electronic total energy: -9.0 eV/cell